# 1
DFT (PBE) results for a geometry-optimized BiSe2F structure.

Summary:
Formation energy (no corrections) = -0.812 eV per atom
Space-group type = I-42d
Density of states at the Fermi level = 0.0001 states/eV/atom
Total energy = -3.993 eV/atom

a = 6.856 Å, b = 6.856 Å, c = 6.856 Å
α = 97.21°, β = 97.21°, γ = 138.49°
Fractional positions:
Bi 0.000 0.000 0.000
Bi 0.750 0.250 0.500
Se 0.081 0.625 0.956
Se 0.375 0.331 0.456
Se 0.669 0.125 0.044
Se 0.875 0.919 0.544
F 0.250 0.750 0.500
F 0.500 0.500 0.000

# 2
DFT (PBE) results for a geometry-optimized Bi4Se5F structure.

Summary:
Formation energy (no corrections) = -0.496 eV per atom
Space-group type = C2/m
Density of states at the Fermi level = 0.2239 states/eV/atom
Total energy = -3.977 eV/atom

a = 10.742 Å, b = 10.742 Å, c = 7.139 Å
α = 97.83°, β = 97.83°, γ = 23.23°
Fractional positions:
Bi 0.012 0.012 0.231
Bi 0.330 0.330 0.995
Bi 0.670 0.670 0.005
Bi 0.988 0.988 0.769
Se 0.139 0.139 0.273
Se 0.216 0.216 0.771
Se 0.500 0.500 0.500
Se 0.784 0.784 0.229
Se 0.861 0.861 0.727
F 0.500 0.500 0.000

> Among the records above, which one has the highest formation energy (no corrections)?

Bi4Se5F